CdSb2Br: single point on PBEsol structure, SCAN.

Summary:
Total energy in eV per atom: -31.14
D(E_F) in states/eV/f.u.: 1.295
Total magnetic moment in μB per cell: 0.00

a = 3.4547 Å, b = 4.9255 Å, c = 12.3185 Å
α = 90.00°, β = 90.00°, γ = 90.00°
Closest atoms and distances in Å follow each position.
Space group Immm (No. 71)
Inequivalent atoms, fractional coordinates:
Cd (0.0000, 0.0000, 0.0000) [2 per cell]  4 Br 3.01, 4 Sb 3.06
Sb (0.0000, 0.5000, 0.2954) [4 per cell]  2 Cd 3.06, 4 Sb 3.21
Br (0.0000, 0.0000, 0.5000) [2 per cell]  4 Cd 3.01


CdSbTe2Br: single point on PBEsol structure, SCAN.

Summary:
Total energy in eV per atom: -31.44
D(E_F) in states/eV/f.u.: 6.321
Total magnetic moment in μB per cell: 0.42

a = 5.4520 Å, b = 5.4520 Å, c = 5.5594 Å
α = 90.00°, β = 90.00°, γ = 90.00°
Closest atoms and distances in Å follow each position.
Space group P4/mmm (No. 123)
Inequivalent atoms, fractional coordinates:
Cd (0.0000, 0.0000, 0.0000) [1 per cell]  4 Sb 3.86, 8 Te 3.89
Sb (0.5000, 0.5000, 0.0000) [1 per cell]  2 Br 2.78
Te (0.0000, 0.5000, 0.5000) [2 per cell]  2 Br 2.73
Br (0.5000, 0.5000, 0.5000) [1 per cell]  4 Te 2.73, 2 Sb 2.78


Sc2CdBr: single point on PBEsol structure, SCAN.

Summary:
Total energy in eV per atom: -20.21
D(E_F) in states/eV/f.u.: 3.364
Total magnetic moment in μB per cell: 0.00

a = 3.4984 Å, b = 3.3865 Å, c = 7.7813 Å
α = 90.00°, β = 90.06°, γ = 90.00°
Closest atoms and distances in Å follow each position.
Space group P2/m (No. 10)
Inequivalent atoms, fractional coordinates:
Sc (0.0003, 0.0000, 0.2221) [2 per cell]  2 Br 2.75, 4 Cd 2.99
Cd (0.5000, 0.5000, 0.0000) [1 per cell]  8 Sc 2.99
Br (0.0000, 0.5000, 0.5000) [1 per cell]  4 Sc 2.75


ScCdBr: single point on PBEsol structure, SCAN.

Summary:
Total energy in eV per atom: -21.36
D(E_F) in states/eV/f.u.: 1.605
Total magnetic moment in μB per cell: 0.00

a = 6.6834 Å, b = 6.6834 Å, c = 6.6834 Å
α = 90.00°, β = 90.00°, γ = 90.00°
Closest atoms and distances in Å follow each position.
Space group F-43m (No. 216)
Inequivalent atoms, fractional coordinates:
Sc (0.0000, 0.0000, 0.0000) [4 per cell]  4 Br 2.89
Cd (0.0000, 0.0000, 0.5000) [4 per cell]  4 Br 2.89
Br (0.2500, 0.2500, 0.7500) [4 per cell]  4 Cd 2.89, 4 Sc 2.89